[1]
Here is Ca3Si2SbAu6 after structural relaxation from the Alexandria database. Energies are from PBE.

ρ, kg/m³: 7847
Energy, eV/atom: -3.80
SG: No. 164

abc: 6.1438 6.1438 9.5801
angles: 90.00 90.00 120.00
With the nearest neighbours (Å) after each atom.
Sites, in units of the cell vectors:
Ca 0.0000 0.0000 0.0000  6 Au 3.12
Ca 0.3333 0.6667 0.7864  1 Si 3.03, 6 Au 3.12
Ca 0.6667 0.3333 0.2136  1 Si 3.03, 6 Au 3.12
Si 0.3333 0.6667 0.1022  3 Au 2.43
Si 0.6667 0.3333 0.8978  3 Au 2.43
Sb 0.0000 0.0000 0.5000  6 Au 2.79
Au 0.1626 0.3253 0.2710  1 Si 2.43
Au 0.1626 0.8374 0.2710  1 Si 2.43
Au 0.3253 0.1626 0.7290  1 Si 2.43
Au 0.6747 0.8374 0.2710  1 Si 2.43
Au 0.8374 0.1626 0.7290  1 Si 2.43
Au 0.8374 0.6747 0.7290  1 Si 2.43



[2]
Here is KCaSnBiO6 after structural relaxation from the Alexandria database. Energies are from PBE.

ρ, kg/m³: 5756
Energy, eV/atom: -5.60
SG: No. 216

abc: 5.8980 5.8980 5.8980
angles: 60.00 60.00 60.00
With the nearest neighbours (Å) after each atom.
Sites, in units of the cell vectors:
K 0.0000 0.0000 0.0000  12 O 2.95
Ca 0.5000 0.5000 0.5000  12 O 2.95
Sn 0.7500 0.7500 0.7500  6 O 2.06
Bi 0.2500 0.2500 0.2500  6 O 2.11
O 0.5032 0.5032 0.9968  1 Sn 2.06, 1 Bi 2.11
O 0.5032 0.9968 0.5032  1 Sn 2.06, 1 Bi 2.11
O 0.5032 0.9968 0.9968  1 Sn 2.06, 1 Bi 2.11
O 0.9968 0.5032 0.5032  1 Sn 2.06, 1 Bi 2.11
O 0.9968 0.5032 0.9968  1 Sn 2.06, 1 Bi 2.11
O 0.9968 0.9968 0.5032  1 Sn 2.06, 1 Bi 2.11



[3]
Here is ZnCoH after structural relaxation from the Alexandria database. Energies are from PBE.

ρ, kg/m³: 7345
SG: No. 107
Excess energy over the best structure of this formula in the dataset, eV per formula unit: 0.43

abc: 4.7723 4.7723 4.7723
angles: 149.24 149.24 44.05
With the nearest neighbours (Å) after each atom.
Sites, in units of the cell vectors:
Zn 0.0000 0.0000 0.0000  1 H 2.23
Co 0.7160 0.7160 0.0000  4 H 1.82
H 0.2523 0.2523 0.0000  4 Co 1.82



[4]
Here is Ac8Te3PPb4 after structural relaxation from the Alexandria database. Energies are from PBE.

ρ, kg/m³: 8206
Energy, eV/atom: -4.91
SG: No. 166

abc: 9.5993 9.5993 9.5993
angles: 59.53 59.53 59.53
With the nearest neighbours (Å) after each atom.
Sites, in units of the cell vectors:
Ac 0.2356 0.7607 0.7607  1 P 3.24, 3 Pb 3.36-3.53, 2 Te 3.41
Ac 0.2393 0.2393 0.7644  1 P 3.24, 3 Pb 3.36-3.53, 2 Te 3.41
Ac 0.2393 0.7644 0.2393  1 P 3.24, 3 Pb 3.36-3.53, 2 Te 3.41
Ac 0.2469 0.2469 0.2469  3 Pb 3.34, 3 Te 3.42
Ac 0.7531 0.7531 0.7531  3 Pb 3.34, 3 Te 3.42
Ac 0.7607 0.2356 0.7607  1 P 3.24, 3 Pb 3.36-3.53, 2 Te 3.41
Ac 0.7607 0.7607 0.2356  1 P 3.24, 3 Pb 3.36-3.53, 2 Te 3.41
Ac 0.7644 0.2393 0.2393  1 P 3.24, 3 Pb 3.36-3.53, 2 Te 3.41
Te 0.0000 0.5000 0.5000  6 Ac 3.41-3.42
Te 0.5000 0.0000 0.5000  6 Ac 3.41-3.42
Te 0.5000 0.5000 0.0000  6 Ac 3.41-3.42
P 0.0000 0.0000 0.0000  6 Ac 3.24
Pb 0.0000 0.0000 0.5000  6 Ac 3.34-3.36
Pb 0.0000 0.5000 0.0000  6 Ac 3.34-3.36
Pb 0.5000 0.0000 0.0000  6 Ac 3.34-3.36
Pb 0.5000 0.5000 0.5000  6 Ac 3.53



[5]
Here is CsYCu2 after structural relaxation from the Alexandria database. Energies are from PBE.

E_form, meV per atom: 617
ρ, kg/m³: 5455
SG: No. 225

abc: 5.3157 5.3157 5.3157
angles: 60.00 60.00 60.00
With the nearest neighbours (Å) after each atom.
Sites, in units of the cell vectors:
Cs 0.0000 0.0000 0.0000  8 Cu 3.26
Y 0.5000 0.5000 0.5000  8 Cu 3.26
Cu 0.2500 0.2500 0.2500  4 Y 3.26, 4 Cs 3.26
Cu 0.7500 0.7500 0.7500  4 Cs 3.26, 4 Y 3.26



[6]
Here is BeGaRe after structural relaxation from the Alexandria database. Energies are from PBE.

E_form, meV per atom: 87
ρ, kg/m³: 11345
SG: No. 12

abc: 4.7992 4.7992 6.1591
angles: 118.61 118.61 39.42
With the nearest neighbours (Å) after each atom.
Sites, in units of the cell vectors:
Be 0.1306 0.1306 0.1528  1 Be 2.14, 2 Ga 2.31, 3 Re 2.35-2.40
Be 0.8694 0.8694 0.8472  1 Be 2.14, 2 Ga 2.31, 3 Re 2.35-2.40
Ga 0.3919 0.3919 0.5973  3 Be 2.31-2.55
Ga 0.6081 0.6081 0.4027  3 Be 2.31-2.55
Re 0.1574 0.1574 0.7932  3 Be 2.35-2.40, 2 Ga 2.62
Re 0.8426 0.8426 0.2068  3 Be 2.35-2.40, 2 Ga 2.62



[7]
Here is AcNpF2 after structural relaxation from the Alexandria database. Energies are from PBE.

ρ, kg/m³: 8561
Energy, eV/atom: -7.29
SG: No. 166

abc: 6.9965 6.9965 6.9965
angles: 34.37 34.37 34.37
With the nearest neighbours (Å) after each atom.
Sites, in units of the cell vectors:
Ac 0.0000 0.0000 0.0000  2 F 2.65
Np 0.5000 0.5000 0.5000  6 F 2.47
F 0.1343 0.1343 0.1343  3 Np 2.47, 1 Ac 2.65, 3 F 2.71
F 0.8657 0.8657 0.8657  3 Np 2.47, 1 Ac 2.65, 3 F 2.71



[8]
Here is Pm2HoMg2 after structural relaxation from the Alexandria database. Energies are from PBE.

E_form, meV per atom: -67
ρ, kg/m³: 5702
SG: No. 11
Excess energy over the best structure of this formula in the dataset, eV per formula unit: 0.00

abc: 3.8148 5.4618 14.2065
angles: 90.00 97.75 90.00
With the nearest neighbours (Å) after each atom.
Sites, in units of the cell vectors:
Pm 0.0450 0.2500 0.0895  8 Mg 3.29-3.39
Pm 0.2359 0.2500 0.4737  2 Mg 3.32-3.33, 4 Pm 3.41-3.42, 4 Ho 3.67-3.71
Pm 0.7641 0.7500 0.5263  2 Mg 3.32-3.33, 4 Pm 3.41-3.42, 4 Ho 3.67-3.71
Pm 0.9550 0.7500 0.9105  8 Mg 3.29-3.39
Ho 0.1502 0.7500 0.3001  6 Mg 3.29-3.34, 2 Pm 3.67
Ho 0.8498 0.2500 0.6999  6 Mg 3.29-3.34, 2 Pm 3.67
Mg 0.3602 0.7500 0.7198  4 Pm 3.29-3.33, 4 Ho 3.34, 2 Mg 3.64
Mg 0.4456 0.2500 0.8906  2 Ho 3.29, 6 Pm 3.34-3.39, 2 Mg 3.64
Mg 0.5544 0.7500 0.1094  2 Ho 3.29, 6 Pm 3.34-3.39, 2 Mg 3.64
Mg 0.6398 0.2500 0.2802  4 Pm 3.29-3.33, 4 Ho 3.34, 2 Mg 3.64



[9]
Here is Sr4Hg5Bi after structural relaxation from the Alexandria database. Energies are from PBE.

E_form, meV per atom: -471
ρ, kg/m³: 8307
SG: No. 123

abc: 4.0411 4.0411 19.1239
angles: 90.00 90.00 90.00
With the nearest neighbours (Å) after each atom.
Sites, in units of the cell vectors:
Sr 0.0000 0.0000 0.1039  8 Hg 3.48-3.49
Sr 0.0000 0.0000 0.3137  8 Hg 3.39-3.50, 1 Bi 3.56
Sr 0.0000 0.0000 0.6863  8 Hg 3.39-3.50, 1 Bi 3.56
Sr 0.0000 0.0000 0.8961  8 Hg 3.48-3.49
Hg 0.5000 0.5000 0.0000  8 Sr 3.48
Hg 0.5000 0.5000 0.2083  8 Sr 3.49-3.50, 1 Hg 3.84
Hg 0.5000 0.5000 0.4091  4 Bi 3.34, 4 Sr 3.39, 1 Hg 3.48
Hg 0.5000 0.5000 0.5909  4 Bi 3.34, 4 Sr 3.39, 1 Hg 3.48
Hg 0.5000 0.5000 0.7917  8 Sr 3.49-3.50, 1 Hg 3.84
Bi 0.0000 0.0000 0.5000  8 Hg 3.34, 2 Sr 3.56



[10]
Here is PrSmP after structural relaxation from the Alexandria database. Energies are from PBE.

E_form, meV per atom: -952
ρ, kg/m³: 5738
SG: No. 11

abc: 4.0099 5.7124 8.1424
angles: 90.00 90.07 90.00
With the nearest neighbours (Å) after each atom.
Sites, in units of the cell vectors:
Pr 0.2492 0.2500 0.1246  2 P 2.86
Pr 0.7508 0.7500 0.8754  2 P 2.86
Sm 0.2503 0.2500 0.6185  4 P 2.82-2.86
Sm 0.7497 0.7500 0.3815  4 P 2.82-2.86
P 0.2503 0.7500 0.6257  4 Sm 2.82-2.86, 2 Pr 2.86
P 0.7497 0.2500 0.3743  4 Sm 2.82-2.86, 2 Pr 2.86



[11]
Here is TbGa3B4O12 after structural relaxation from the Alexandria database. Energies are from PBE.

ρ, kg/m³: 5040
Energy, eV/atom: -7.36
SG: No. 155

abc: 6.0613 6.0613 6.0613
angles: 103.98 103.98 103.98
With the nearest neighbours (Å) after each atom.
Sites, in units of the cell vectors:
Tb 0.0000 0.0000 0.0000  6 O 2.35
Ga 0.0000 0.5500 0.4500  6 O 1.96-2.03
Ga 0.4500 0.0000 0.5500  6 O 1.96-2.03
Ga 0.5500 0.4500 0.0000  6 O 1.96-2.03
B 0.0527 0.5000 0.9473  3 O 1.38-1.39
B 0.5000 0.5000 0.5000  3 O 1.39
B 0.5000 0.9473 0.0527  3 O 1.38-1.39
B 0.9473 0.0527 0.5000  3 O 1.38-1.39
O 0.0282 0.6314 0.7911  1 B 1.38
O 0.0923 0.9077 0.5000  1 B 1.39
O 0.2089 0.3686 0.9718  1 B 1.38
O 0.3548 0.6452 0.5000  1 B 1.39
O 0.3686 0.9718 0.2089  1 B 1.38
O 0.5000 0.0923 0.9077  1 B 1.39
O 0.5000 0.3548 0.6452  1 B 1.39
O 0.6314 0.7911 0.0282  1 B 1.38
O 0.6452 0.5000 0.3548  1 B 1.39
O 0.7911 0.0282 0.6314  1 B 1.38
O 0.9077 0.5000 0.0923  1 B 1.39
O 0.9718 0.2089 0.3686  1 B 1.38



[12]
Here is TbEr2PuO8 after structural relaxation from the Alexandria database. Energies are from PBE.

ρ, kg/m³: 8060
Energy, eV/atom: -8.75
SG: No. 65

abc: 5.0665 5.0665 6.9464
angles: 90.00 90.00 90.72
With the nearest neighbours (Å) after each atom.
Sites, in units of the cell vectors:
Tb 0.0000 0.0000 0.0000  6 O 2.21-2.35
Er 0.5000 0.5000 0.2402  6 O 2.15-2.38
Er 0.5000 0.5000 0.7598  6 O 2.15-2.38
Pu 0.0000 0.0000 0.5000  6 O 2.00-2.04
O 0.1857 0.8143 0.2789  1 Pu 2.04
O 0.1857 0.8143 0.7211  1 Pu 2.04
O 0.2812 0.2812 0.5000  1 Pu 2.00
O 0.3104 0.3104 0.0000  2 Er 2.15, 1 Tb 2.21
O 0.6896 0.6896 0.0000  2 Er 2.15, 1 Tb 2.21
O 0.7188 0.7188 0.5000  1 Pu 2.00
O 0.8143 0.1857 0.2789  1 Pu 2.04
O 0.8143 0.1857 0.7211  1 Pu 2.04



Question: Which of these has the lowest ρ?
Answer: TbGa3B4O12



Copy entry 3 word for word.
Here is ZnCoH after structural relaxation from the Alexandria database. Energies are from PBE.

ρ, kg/m³: 7345
SG: No. 107
Excess energy over the best structure of this formula in the dataset, eV per formula unit: 0.43

abc: 4.7723 4.7723 4.7723
angles: 149.24 149.24 44.05
With the nearest neighbours (Å) after each atom.
Sites, in units of the cell vectors:
Zn 0.0000 0.0000 0.0000  1 H 2.23
Co 0.7160 0.7160 0.0000  4 H 1.82
H 0.2523 0.2523 0.0000  4 Co 1.82



Question: What is the formula in the fourth record?
Answer: Ac8Te3PPb4